Below is an optimized crystal structure of Tc2SeCl, with properties calculated at the GGA-PBE level.

Calculated values
- magnetization (μB per cell) = 0.0
- calculated total energy (eV/atom) = -6.1212
- volume (Å³ per atom) = 16.02
- ΔE_f (raw) (eV per atom) = 0.395
- symmetry = C2/m (12)

abc: 4.2647 4.2647 5.4709
angles: 76.65 76.65 41.64
With the nearest neighbours (Å) after each atom.
Sites, in units of the cell vectors:
1 Tc 0.0015 0.0015 0.0358  3 Se 2.54-2.56, 3 Cl 2.67-2.83, 2 Tc 2.79
2 Tc 0.4985 0.4985 0.4642  3 Se 2.54-2.56, 3 Cl 2.67-2.83, 2 Tc 2.79
3 Cl 0.7500 0.7500 0.7500  6 Tc 2.67-2.83
4 Se 0.2500 0.2500 0.2500  6 Tc 2.54-2.56